Below is an optimized crystal structure of Ba2AlIrI, with properties calculated at the PBE-GGA level.

Values from the calculation:
Total energy ... -4.295 eV/atom
Size of the total moment ... 0.0000 μB per atom
Raw formation energy ... -335 kJ/mol of formula units

abc: 6.2088 6.2088 4.7746
angles: 90.00 90.00 90.00
Fractional positions:
Ba (0.0000, 0.5000, 0.0000)
Ba (0.5000, 0.0000, 0.0000)
Al (0.0000, 0.0000, 0.5000)
Ir (0.0000, 0.0000, 0.0000)
I (0.5000, 0.5000, 0.5000)

---

Below is an optimized crystal structure of NaLaCd2Au4, with properties calculated at the PBE-GGA level.

Values from the calculation:
Energy of formation ... -458 meV per atom
Total energy ... -3.106 eV/atom
Size of the total moment ... 0.0000 μB per atom

abc: 9.1135 9.1135 9.1135
angles: 31.02 31.02 31.02
Fractional positions:
Na (0.0000, 0.0000, 0.0000)
La (0.5000, 0.5000, 0.5000)
Cd (0.2581, 0.2581, 0.2581)
Cd (0.7419, 0.7419, 0.7419)
Au (0.1110, 0.1110, 0.1110)
Au (0.3786, 0.3786, 0.3786)
Au (0.6214, 0.6214, 0.6214)
Au (0.8890, 0.8890, 0.8890)

---

Below is an optimized crystal structure of ReAg3, with properties calculated at the PBE-GGA level.

Values from the calculation:
Energy of formation ... 908 meV per atom
Total energy ... -4.343 eV/atom
Size of the total moment ... 0.0000 μB per atom

abc: 5.8272 5.8272 4.6082
angles: 90.00 90.00 120.00
Fractional positions:
Re (0.3333, 0.6667, 0.2500)
Re (0.6667, 0.3333, 0.7500)
Ag (0.1698, 0.3395, 0.7500)
Ag (0.1698, 0.8302, 0.7500)
Ag (0.3395, 0.1698, 0.2500)
Ag (0.6605, 0.8302, 0.7500)
Ag (0.8302, 0.1698, 0.2500)
Ag (0.8302, 0.6605, 0.2500)

---

Below is an optimized crystal structure of FeCoBiPb2, with properties calculated at the PBE-GGA level.

Values from the calculation:
Energy of formation ... 778 meV per atom
Total energy ... -4.596 eV/atom
Size of the total moment ... 0.5119 μB per atom

abc: 5.0458 5.0458 5.1352
angles: 90.00 90.00 90.00
Fractional positions:
Fe (0.0000, 0.0000, 0.0000)
Co (0.5000, 0.5000, 0.5000)
Bi (0.5000, 0.5000, 0.0000)
Pb (0.0000, 0.5000, 0.5000)
Pb (0.5000, 0.0000, 0.5000)

---

Below is an optimized crystal structure of Ac2ErMgTl6, with properties calculated at the PBE-GGA level.

Values from the calculation:
Energy of formation ... -8 meV per atom
Total energy ... -2.865 eV/atom
Size of the total moment ... 0.0000 μB per atom

abc: 7.8202 7.8202 7.8183
angles: 119.91 119.91 90.00
Fractional positions:
Ac (0.2499, 0.7501, 0.0000)
Ac (0.7501, 0.2499, 0.0000)
Er (0.0000, 0.0000, 0.5000)
Mg (0.5000, 0.5000, 0.5000)
Tl (0.2590, 0.2590, 0.0179)
Tl (0.2591, 0.2591, 0.5002)
Tl (0.2591, 0.7409, 0.5000)
Tl (0.7409, 0.2591, 0.5000)
Tl (0.7409, 0.7409, 0.4998)
Tl (0.7410, 0.7410, 0.9821)

---

Below is an optimized crystal structure of HfCoNiP, with properties calculated at the PBE-GGA level.

Values from the calculation:
Energy of formation ... -600 meV per atom
Total energy ... -7.663 eV/atom
Size of the total moment ... 0.0000 μB per atom

abc: 4.9679 4.9679 4.9679
angles: 44.54 44.54 44.54
Fractional positions:
Hf (0.0000, 0.0000, 0.0000)
Co (0.2089, 0.2089, 0.2089)
Ni (0.7889, 0.7889, 0.7889)
P (0.5189, 0.5189, 0.5189)

---

Below is an optimized crystal structure of Eu3HgP, with properties calculated at the PBE-GGA level.

Values from the calculation:
Energy of formation ... -580 meV per atom
Total energy ... -7.887 eV/atom
Size of the total moment ... 4.5023 μB per atom

abc: 5.6442 5.6442 5.6442
angles: 90.00 90.00 90.00
Fractional positions:
Eu (0.0000, 0.0000, 0.5000)
Eu (0.0000, 0.5000, 0.0000)
Eu (0.5000, 0.0000, 0.0000)
Hg (0.5000, 0.5000, 0.5000)
P (0.0000, 0.0000, 0.0000)

---

Below is an optimized crystal structure of Pr2Gd, with properties calculated at the PBE-GGA level.

Values from the calculation:
Energy of formation ... 238 meV per atom
Total energy ... -7.642 eV/atom
Size of the total moment ... 2.4749 μB per atom

abc: 6.7554 6.7554 6.7554
angles: 60.00 60.00 60.00
Fractional positions:
Pr (0.0000, 0.0000, 0.0000)
Pr (0.0000, 0.0000, 0.5000)
Pr (0.0000, 0.5000, 0.0000)
Pr (0.5000, 0.0000, 0.0000)
Gd (0.3750, 0.3750, 0.3750)
Gd (0.6250, 0.6250, 0.6250)